A geometry-optimized Ca3AlGe3 structure, computed with PBE. Values from VASP.

## Properties
- Total magnetization: 0.0 μB per formula unit
- Calculated volume: 186 Å³/f.u.
- Formation energy: -0.393 eV per atom

Geometry as Quantum ESPRESSO input:
```
&SYSTEM
  ibrav = 0, nat = 14, ntyp = 3
/
ATOMIC_SPECIES
Ca 40.08 Ca.upf
Al 26.98 Al.upf
Ge 72.64 Ge.upf
CELL_PARAMETERS angstrom
4.433 -5.508 0.000
4.433 5.508 0.000
-0.495 0.000 7.614
ATOMIC_POSITIONS angstrom
Ca 4.433 3.584 0.000
Ca 4.185 2.765 3.807
Ca 2.838 0.000 6.340
Ca 5.533 0.000 1.274
Ca 4.185 -2.765 3.807
Ca 4.433 -3.584 0.000
Al 1.790 0.000 3.147
Al 6.581 0.000 4.467
Ge 0.249 0.000 5.125
Ge 2.801 1.463 1.401
Ge 2.801 -1.463 1.401
Ge 5.570 1.463 6.213
Ge 5.570 -1.463 6.213
Ge 8.122 0.000 2.488
```